[1]
# ScU2O7

An optimized crystal structure of ScU2O7 (GGA-PBE, Alexandria).

Lattice parameters (Å, degrees): 3.8101 3.8101 10.1113 79.14 79.14 60.00
Last column: nearest neighbours and their distance in Å.
Atoms (fractional coordinates):
1 O 0.7218 0.7218 0.8347  3 U 2.24, 3 O 2.48
2 U 0.9298 0.9298 0.2106  8 O 2.08-2.31
3 O 0.4274 0.4274 0.7178  1 Sc 2.15, 3 U 2.31
4 Sc 0.5000 0.5000 0.5000  8 O 2.15-2.32
5 O 0.2782 0.2782 0.1653  3 U 2.24, 3 O 2.48
6 O 0.8582 0.8582 0.4254  1 U 2.12, 3 Sc 2.32
7 O 0.5726 0.5726 0.2822  1 Sc 2.15, 3 U 2.31
8 U 0.0702 0.0702 0.7894  8 O 2.08-2.31
9 O 0.0000 0.0000 0.0000  2 U 2.08
10 O 0.1418 0.1418 0.5746  1 U 2.12, 3 Sc 2.32

Calculated values
energy relative to the elements, uncorrected	-3199	meV/atom
SG	R-3m

=====

[2]
# Sc6UO12

An optimized crystal structure of Sc6UO12 (GGA-PBE, Alexandria).

Lattice parameters (Å, degrees): 6.2360 6.2360 6.2360 99.40 99.40 99.40
Last column: nearest neighbours and their distance in Å.
Atoms (fractional coordinates):
1 Sc 0.8528 0.6626 0.3910  6 O 2.08-2.19
2 O 0.5827 0.4139 0.1792  4 Sc 2.08-2.18
3 O 0.4173 0.5861 0.8208  4 Sc 2.08-2.18
4 O 0.0539 0.8955 0.6822  1 U 2.08, 2 Sc 2.18-2.19
5 Sc 0.3374 0.6090 0.1472  6 O 2.08-2.19
6 Sc 0.1472 0.3374 0.6090  6 O 2.08-2.19
7 O 0.5861 0.8208 0.4173  4 Sc 2.08-2.18
8 Sc 0.6626 0.3910 0.8528  6 O 2.08-2.19
9 O 0.1045 0.3178 0.9461  1 U 2.08, 2 Sc 2.18-2.19
10 U 0.0000 0.0000 0.0000  6 O 2.08
11 O 0.9461 0.1045 0.3178  1 U 2.08, 2 Sc 2.18-2.19
12 Sc 0.6090 0.1472 0.3374  6 O 2.08-2.19
13 O 0.3178 0.9461 0.1045  1 U 2.08, 2 Sc 2.18-2.19
14 O 0.6822 0.0539 0.8955  1 U 2.08, 2 Sc 2.18-2.19
15 O 0.1792 0.5827 0.4139  4 Sc 2.08-2.18
16 O 0.8208 0.4173 0.5861  4 Sc 2.08-2.18
17 O 0.8955 0.6822 0.0539  1 U 2.08, 2 Sc 2.18-2.19
18 O 0.4139 0.1792 0.5827  4 Sc 2.08-2.18
19 Sc 0.3910 0.8528 0.6626  6 O 2.08-2.19

Calculated values
energy relative to the elements, uncorrected	-3452	meV/atom
SG	R-3

=====

no.,density of states at the Fermi level (states/eV/cell),magnetic moment (μB per formula unit),total energy (eV/atom)
1,6.6,1.04,-9.560
2,0.0,0.00,-9.177